Entry 1:
VASP calculation (PBE) on a geometry-optimized La2ZrAgGe structure.

## Properties
energy	-4.81	eV/atom
DFT formation energy	0.36	eV/atom
size of the total moment	0.00	μB per cell

The structure in POSCAR format:
```
La2ZrAgGe
1.0
5.6921 0.0000 0.0000
0.0000 5.1065 0.0000
0.0000 0.0000 5.6921
Ge La Zr Ag
1 2 1 1
Cartesian
0.0000 2.5533 0.0000
0.0000 0.0000 2.8461
2.8461 0.0000 0.0000
0.0000 0.0000 0.0000
2.8461 2.5533 2.8461
```

Entry 2:
VASP calculation (PBE) on a geometry-optimized GaSi2Sn2 structure.

## Properties
energy	-4.14	eV/atom
size of the total moment	0.00	μB per cell
formation energy (no corrections)	0.232	eV per atom

The structure in POSCAR format:
```
GaSi2Sn2
1.0
3.4865 0.0000 0.0000
0.0000 3.4865 0.0000
1.7433 1.7433 8.9831
Si Sn Ga
2 2 1
Cartesian
1.7433 3.4865 4.4915
3.4865 1.7433 4.4915
1.7433 1.7433 1.9496
3.4865 3.4865 7.0334
0.0000 0.0000 0.0000
```

Entry 3:
VASP calculation (PBE) on a geometry-optimized Pr3Y2HoEr6 structure.

## Properties
energy	-4.91	eV/atom
DFT formation energy	0.02	eV/atom
size of the total moment	0.01	μB per cell

The structure in POSCAR format:
```
Pr3Y2HoEr6
1.0
-5.2084 -3.1993 -1.0176
4.1480 0.6903 -4.5515
5.6779 -8.9096 5.2265
Er Y Pr Ho
6 2 3 1
Cartesian
-0.4212 -3.4624 0.4916
0.6037 -4.0749 -2.8867
5.0387 -7.9562 -0.8342
4.0138 -7.3437 2.5441
2.6898 -2.1691 -0.6835
1.9277 -9.2495 0.3409
-2.0888 -1.9024 -2.1959
1.0284 -0.6066 -3.3732
5.4265 -4.4132 -1.3488
-0.8090 -7.0054 1.0062
2.3087 -5.7093 -0.1713
0.0000 0.0000 0.0000
```

Entry 4:
VASP calculation (PBE) on a geometry-optimized La2BeBiAu structure.

## Properties
energy	-4.29	eV/atom
DFT formation energy	-0.14	eV/atom
size of the total moment	0.00	μB per cell

The structure in POSCAR format:
```
La2BeBiAu
1.0
-1.1056 5.2722 -1.1509
-4.5107 -0.9849 -0.1789
-0.4495 1.0807 5.3826
Au Be La Bi
1 1 2 1
Cartesian
-3.0328 2.6840 2.0264
0.0000 0.0000 0.0000
-0.5528 2.6361 -0.5754
-0.2247 0.5404 2.6913
-2.2553 -0.4925 -0.0895
```

Entry 5:
VASP calculation (PBE) on a geometry-optimized GdTmSn structure.

## Properties
energy	-7.40	eV/atom
DFT formation energy	0.12	eV/atom
size of the total moment	7.96	μB per cell

The structure in POSCAR format:
```
GdTmSn
1.0
3.3198 0.0000 0.0000
0.0000 3.3198 0.0000
-1.6599 -1.6599 8.6387
Sn Gd Tm
1 1 1
Cartesian
0.0000 0.0000 2.3166
1.6599 1.6599 7.8671
1.6599 1.6599 4.5020
```

Entry 6:
VASP calculation (PBE) on a geometry-optimized Al3Pb5F19 structure.

## Properties
energy	-5.34	eV/atom
size of the total moment	0.00	μB per cell
formation energy (no corrections)	-2.919	eV per atom

The structure in POSCAR format:
```
Al3Pb5F19
1.0
-0.8277 -7.3372 -2.1037
4.5289 -1.7487 -9.6928
8.3701 -5.9545 3.4648
Pb F Al
10 38 6
Cartesian
9.5219 -7.5028 -6.3633
5.9300 -8.4565 -4.4343
6.3439 -4.7879 -3.3825
2.5041 -7.9383 -2.0833
4.3221 -2.8598 -6.5013
5.9909 -6.5839 -8.1789
2.3352 -3.6316 -3.0278
9.6909 -11.8095 -5.4189
7.7039 -12.5813 -1.9453
6.0352 -8.8572 -0.2677
2.3139 -5.6795 -4.2607
-0.7761 -6.8795 -1.9725
7.6843 -11.7903 -4.1716
6.4786 -10.0071 -6.2859
3.7034 -7.2348 -9.4091
8.8107 -8.8139 -4.3610
4.9653 -10.5949 -3.6404
5.5187 -3.6036 -8.7784
3.9665 -5.0051 -1.7293
7.8911 -11.9287 -7.1453
6.3604 -8.9064 -8.6080
1.7273 -6.8363 -6.4783
11.3642 -9.2285 -5.4700
7.0751 -6.8049 1.7746
4.3728 -3.3759 -4.1962
7.5682 -9.2965 -2.1888
3.0469 -8.1199 -4.5136
4.8640 -8.0354 -2.1480
7.4804 -6.9823 -3.2199
6.1747 -5.5798 -0.5939
8.7605 -9.5310 -7.3739
10.5582 -12.4676 -7.8652
7.9712 -10.6824 -9.5305
10.0446 -6.8152 -3.3411
6.5107 -4.0169 -6.1770
7.1931 -7.1307 -6.2198
1.2296 -1.1801 -1.5337
4.2894 -7.6373 -6.6858
4.7911 -6.2825 -4.6027
5.1703 -10.9255 -1.0976
3.5980 -2.9637 -0.2280
4.0043 -5.2076 0.9552
3.6644 -5.1549 -6.6217
10.2481 -9.0537 -2.0971
8.0627 -10.5109 0.3017
8.6940 -7.3398 -0.9801
-0.3622 -3.2109 -0.9206
1.2079 -5.2781 -1.2422
4.8947 -4.2777 -0.3059
-0.1610 -1.4273 -0.4092
7.2185 -10.3907 -7.9192
8.8570 -8.0629 -2.6726
-0.5749 -5.0958 -1.4611
3.2562 -6.6054 -5.5525
```